1.
DFT (PBE) results for an optimized crystal structure of ZrSc2Zn8.

The structure in extended XYZ format:
```
11
Lattice="3.657 -7.011 0.000 3.657 7.011 0.000 -2.996 0.000 3.603" Properties=species:S:1:pos:R:3 pbc="T T T"
Zr 0.000 0.000 0.000
Sc 2.159 2.630 1.802
Sc 2.159 -2.630 1.802
Zn -0.518 1.754 2.624
Zn 3.657 4.183 0.000
Zn -0.518 -1.754 2.624
Zn 1.418 0.000 2.687
Zn 2.900 0.000 0.916
Zn 4.836 1.754 0.979
Zn 3.657 -4.183 0.000
Zn 4.836 -1.754 0.979
```

Calculated volume = 16.795 A^3/atom
D(E_F) = 6.47 states/eV per cell
Crystal system = monoclinic
Theoretical density = 6.3 g/cm3


2.
DFT (PBE) results for an optimized crystal structure of Zr3ScZn4.

The structure in extended XYZ format:
```
8
Lattice="3.334 0.000 0.000 0.000 3.334 0.000 0.000 0.000 13.435" Properties=species:S:1:pos:R:3 pbc="T T T"
Zr 0.000 0.000 0.000
Zr 0.000 0.000 3.356
Zr 0.000 0.000 10.079
Sc 0.000 0.000 6.717
Zn 1.667 1.667 1.680
Zn 1.667 1.667 5.073
Zn 1.667 1.667 8.362
Zn 1.667 1.667 11.755
```

Calculated volume = 18.665 A^3/atom
D(E_F) = 7.19 states/eV per cell
Crystal system = tetragonal
Theoretical density = 6.5 g/cm3


3.
DFT (PBE) results for an optimized crystal structure of Zr3ScZn.

The structure in extended XYZ format:
```
10
Lattice="3.308 -6.891 0.000 3.308 6.891 0.000 0.000 0.000 5.283" Properties=species:S:1:pos:R:3 pbc="T T T"
Zr 3.308 5.879 2.642
Zr 1.548 1.620 2.691
Zr 1.548 -1.620 0.050
Zr 5.068 1.620 2.691
Zr 5.068 -1.620 0.050
Zr 3.308 -5.879 0.000
Sc 3.308 1.040 0.147
Sc 3.308 -1.040 2.789
Zn 3.308 3.399 3.911
Zn 3.308 -3.399 1.270
```

Calculated volume = 24.088 A^3/atom
D(E_F) = 13.08 states/eV per cell
Crystal system = orthorhombic
Theoretical density = 5.3 g/cm3
Energy above the lowest structure with this stoichiometry = 0 kJ/mol of formula units


4.
DFT (PBE) results for an optimized crystal structure of ZrScZn2.

The structure in extended XYZ format:
```
4
Lattice="-1.657 2.322 4.907 1.657 -2.322 4.907 1.657 2.322 -4.907" Properties=species:S:1:pos:R:3 pbc="T T T"
Zr 0.000 0.000 0.000
Sc 0.000 2.322 2.282
Zn 1.657 0.000 2.607
Zn 0.000 0.000 4.561
```

Calculated volume = 18.883 A^3/atom
D(E_F) = 3.48 states/eV per cell
Crystal system = orthorhombic
Theoretical density = 5.9 g/cm3


It is found that the formation energy from the elements values, taken in the order of the records, are -2.83 -2.38 1.12 -0.92 eV per formula unit.
It is found that the E_tot values, taken in the order of the records, are -0.229 -0.362 -0.472 -0.337 Ry per atom.